(a)
Here is crystalline GaPtSe3 at its relaxed geometry from the Alexandria database. Energies are from PBE.

Lattice parameters (Å, degrees): 5.040 5.040 5.040 90.00 90.00 90.00
Last column: magnetic moment on the atom in μB.
Positions (direct):
Ga (0.500, 0.500, 0.500)  0.01
Se (0.500, 0.000, 0.000)  0.30
Se (0.000, 0.500, 0.000)  0.19
Se (0.000, 0.000, 0.500)  0.12
Pt (0.000, 0.000, 0.000)  0.20

Total magnetic moment (μB/f.u.): 1.17
Space-group type: Pm-3m (221)


(b)
Here is crystalline GaPtSe3 at its relaxed geometry from the Alexandria database. Energies are from PBE.

Lattice parameters (Å, degrees): 4.869 4.869 4.869 90.00 90.00 90.00
Positions (direct):
Se (0.000, 0.000, 0.500)
Se (0.500, 0.000, 0.000)
Se (0.000, 0.500, 0.000)
Ga (0.000, 0.000, 0.000)
Pt (0.500, 0.500, 0.500)

Total magnetic moment (μB/f.u.): 0.00
Space-group type: Pm-3m (221)


Which one sits at the bottom of the stability order? (b) does.


(a)
Here is crystalline Ga3PtSe at its relaxed geometry from the Alexandria database. Energies are from PBE.

Lattice parameters (Å, degrees): 4.856 4.856 4.856 90.00 90.00 90.00
Positions (direct):
Pt (0.000, 0.000, 0.000)
Se (0.500, 0.500, 0.500)
Ga (0.000, 0.500, 0.000)
Ga (0.000, 0.000, 0.500)
Ga (0.500, 0.000, 0.000)

Total magnetic moment (μB/f.u.): 0.00
Space-group type: Pm-3m (221)


(b)
Here is crystalline Ga3PtSe at its relaxed geometry from the Alexandria database. Energies are from PBE.

Lattice parameters (Å, degrees): 4.921 4.921 4.921 90.00 90.00 90.00
Positions (direct):
Ga (0.500, 0.000, 0.000)
Ga (0.000, 0.500, 0.000)
Ga (0.000, 0.000, 0.500)
Pt (0.500, 0.500, 0.500)
Se (0.000, 0.000, 0.000)

Total magnetic moment (μB/f.u.): 0.00
Space-group type: Pm-3m (221)


Which one sits at the bottom of the stability order? (b) does.


(a)
Here is crystalline GaSi2Pt2 at its relaxed geometry from the Alexandria database. Energies are from PBE.

Lattice parameters (Å, degrees): 7.728 7.728 2.681 90.00 90.00 90.00
Positions (direct):
Ga (0.000, 0.000, 0.000)
Ga (0.500, 0.500, 0.000)
Si (0.631, 0.131, 0.000)
Si (0.869, 0.631, 0.000)
Si (0.131, 0.369, 0.000)
Si (0.369, 0.869, 0.000)
Pt (0.337, 0.163, 0.500)
Pt (0.163, 0.663, 0.500)
Pt (0.837, 0.337, 0.500)
Pt (0.663, 0.837, 0.500)

Total magnetic moment (μB/f.u.): 0.00
Space-group type: P4/mbm (127)


(b)
Here is crystalline GaSi2Pt2 at its relaxed geometry from the Alexandria database. Energies are from PBE.

Lattice parameters (Å, degrees): 7.562 7.562 2.769 90.00 90.00 90.00
Positions (direct):
Pt (0.639, 0.139, 0.000)
Pt (0.139, 0.361, 0.000)
Pt (0.361, 0.861, 0.000)
Pt (0.861, 0.639, 0.000)
Ga (0.000, 0.000, 0.000)
Ga (0.500, 0.500, 0.000)
Si (0.655, 0.845, 0.500)
Si (0.155, 0.655, 0.500)
Si (0.345, 0.155, 0.500)
Si (0.845, 0.345, 0.500)

Total magnetic moment (μB/f.u.): 0.00
Space-group type: P4/mbm (127)


(c)
Here is crystalline GaSi2Pt2 at its relaxed geometry from the Alexandria database. Energies are from PBE.

Lattice parameters (Å, degrees): 3.813 3.813 6.394 72.65 72.65 90.00
Positions (direct):
Ga (0.000, 0.000, 0.000)
Pt (0.377, 0.377, 0.247)
Pt (0.623, 0.623, 0.753)
Si (0.750, 0.250, 0.500)
Si (0.250, 0.750, 0.500)

Total magnetic moment (μB/f.u.): 0.00
Space-group type: I4/mmm (139)


(d)
Here is crystalline GaSi2Pt2 at its relaxed geometry from the Alexandria database. Energies are from PBE.

Lattice parameters (Å, degrees): 3.638 6.286 7.573 102.00 90.00 90.00
Positions (direct):
Pt (0.750, 0.834, 0.880)
Pt (0.250, 0.316, 0.518)
Pt (0.250, 0.166, 0.120)
Pt (0.750, 0.684, 0.482)
Si (0.250, 0.548, 0.279)
Si (0.750, 0.452, 0.721)
Si (0.750, 0.240, 0.940)
Si (0.250, 0.760, 0.060)
Ga (0.250, 0.965, 0.644)
Ga (0.750, 0.035, 0.356)

Total magnetic moment (μB/f.u.): 0.00
Space-group type: P2_1/m (11)


Which one sits at the bottom of the stability order? (a) does.